VASP calculation (PBE) on ThZrCu4 after structural relaxation.

Formation energy: -61 meV per atom
Total DFT energy (no corrections): -5.454 eV per atom
Energy relative to the lowest polymorph listed for this composition: 0 meV per atom
Total magnetic moment: 0.00 μB/cell
Symmetry: F-43m, No. 216

Geometry as POSCAR:
```
ThZrCu4
1.0
5.208 0.000 0.000
2.604 4.511 0.000
2.604 1.504 4.253
Cu Zr Th
4 1 1
Cartesian
5.208 3.007 0.517
5.208 1.490 2.663
6.523 3.766 2.663
3.894 3.766 2.663
0.000 0.000 0.000
2.604 1.504 1.063
```